This record from Alexandria describes Tb3Pm3Pr8 after structural relaxation. The functional is PBE.

a b c (Å): 6.0050 9.2876 9.2876
angles (deg): 92.22 78.37 78.37
Element x y z (fractional)
Pr (0.9119, 0.7710, 0.5277)
Pr (0.5876, 0.6113, 0.1186)
Pr (0.0881, 0.4723, 0.2290)
Pr (0.9119, 0.5277, 0.7710)
Pr (0.5876, 0.1186, 0.6113)
Pr (0.4124, 0.3887, 0.8814)
Pr (0.4124, 0.8814, 0.3887)
Pr (0.0881, 0.2290, 0.4723)
Pm (0.3229, 0.7771, 0.7771)
Pm (0.6771, 0.2229, 0.2229)
Pm (0.5000, 0.5000, 0.5000)
Tb (0.5000, 0.0000, 0.0000)
Tb (0.0000, 0.1464, 0.8536)
Tb (0.0000, 0.8536, 0.1464)

## Properties
Relative energy among the computed polymorphs: 0.037 eV/atom
Symmetry: C2/m
ΔH_f (0 K): 197 kJ/mol of formula units



This record from Alexandria describes Fe4AuN2 after structural relaxation. The functional is PBE.

a b c (Å): 4.8432 4.8432 5.9618
angles (deg): 66.03 66.03 90.00
Last column: magnetic moment on the atom in μB.
Element x y z (fractional)
Fe (0.7447, 0.7447, 0.5107)  2.77
Fe (0.2553, 0.2553, 0.4893)  2.77
Fe (0.5000, 0.0000, 0.0000)  3.07
Fe (0.0000, 0.5000, 0.0000)  3.07
N (0.4369, 0.4369, 0.1261)  -0.10
N (0.5631, 0.5631, 0.8739)  -0.10
Au (0.0000, 0.0000, 0.0000)  0.09

## Properties
Symmetry: I4/mmm



This record from Alexandria describes Ba2MgRe after structural relaxation. The functional is PBE.

a b c (Å): 4.7064 4.7064 9.5480
angles (deg): 86.07 86.07 40.18
Last column: magnetic moment on the atom in μB.
Element x y z (fractional)
Ba (0.5066, 0.5066, 0.4557)  -0.01
Ba (0.9934, 0.9934, 0.0443)  -0.01
Re (0.2500, 0.2500, 0.2500)  0.28
Mg (0.7500, 0.7500, 0.7500)  0.00

## Properties
Symmetry: C2/m
ΔH_f (0 K): 395 kJ/mol of formula units



This record from Alexandria describes CsSrPO4 after structural relaxation. The functional is PBE.

a b c (Å): 5.9464 5.8963 8.0629
angles (deg): 90.00 107.18 90.00
Element x y z (fractional)
O (0.0560, 0.5373, 0.3057)
O (0.0560, 0.9627, 0.3057)
O (0.9440, 0.4627, 0.6943)
O (0.9440, 0.0373, 0.6943)
O (0.6203, 0.2500, 0.7875)
O (0.3797, 0.7500, 0.2125)
O (0.3799, 0.7500, 0.5282)
O (0.6201, 0.2500, 0.4718)
P (0.2209, 0.7500, 0.3350)
P (0.7791, 0.2500, 0.6650)
Cs (0.7053, 0.7500, 0.9298)
Cs (0.2947, 0.2500, 0.0702)
Sr (0.7697, 0.7500, 0.4574)
Sr (0.2303, 0.2500, 0.5426)

## Properties
Symmetry: P2_1/m



This record from Alexandria describes TbFeCo3 after structural relaxation. The functional is PBE.

a b c (Å): 4.6942 8.1904 6.2350
angles (deg): 131.06 112.11 90.00
Last column: magnetic moment on the atom in μB.
Element x y z (fractional)
Fe (0.5000, 0.0000, 0.0000)  2.50
Fe (0.0000, 0.5000, 0.0000)  2.50
Tb (0.7500, 0.7076, 0.5000)  -0.34
Tb (0.2500, 0.2924, 0.5000)  -0.34
Co (0.7564, 0.7564, 0.0129)  1.33
Co (0.7436, 0.2436, 0.9871)  1.33
Co (0.2564, 0.7564, 0.0129)  1.33
Co (0.2500, 0.9287, 0.5000)  1.40
Co (0.2436, 0.2436, 0.9871)  1.33
Co (0.7500, 0.0713, 0.5000)  1.40

## Properties
Symmetry: Imma
ΔH_f (0 K): 26 kJ/mol of formula units



This record from Alexandria describes K2SrZn after structural relaxation. The functional is PBE.

a b c (Å): 10.3247 10.3247 5.2350
angles (deg): 75.31 75.31 22.70
Element x y z (fractional)
Sr (0.2500, 0.2500, 0.2500)
K (0.0867, 0.0867, 0.9135)
K (0.4133, 0.4133, 0.5865)
Zn (0.7500, 0.7500, 0.7500)

## Properties
Symmetry: Immm
ΔH_f (0 K): 29 kJ/mol of formula units



This record from Alexandria describes AlOs3 after structural relaxation. The functional is PBE.

a b c (Å): 4.6939 4.6939 2.7483
angles (deg): 90.00 90.00 109.10
Element x y z (fractional)
Os (0.5000, 0.5000, 0.0000)
Os (0.5000, 0.0000, 0.5000)
Os (0.0000, 0.5000, 0.5000)
Al (0.0000, 0.0000, 0.0000)

## Properties
Symmetry: Cmmm
ΔH_f (0 K): 24 kJ/mol of formula units



This record from Alexandria describes AlGa3W after structural relaxation. The functional is PBE.

a b c (Å): 4.7886 4.7886 4.7886
angles (deg): 90.00 90.00 90.00
Last column: magnetic moment on the atom in μB.
Element x y z (fractional)
Al (0.0000, 0.0000, 0.0000)  0.03
Ga (0.0000, 0.5000, 0.0000)  -0.03
Ga (0.0000, 0.0000, 0.5000)  0.00
Ga (0.5000, 0.0000, 0.0000)  -0.03
W (0.5000, 0.5000, 0.5000)  2.68

## Properties
Relative energy among the computed polymorphs: 0.685 eV/atom
Symmetry: Pm-3m
ΔH_f (0 K): 634 kJ/mol of formula units



This record from Alexandria describes BaTcSb2Te after structural relaxation. The functional is PBE.

a b c (Å): 5.0934 5.0934 6.2533
angles (deg): 90.00 90.00 90.00
Element x y z (fractional)
Sb (0.0000, 0.5000, 0.0000)
Sb (0.5000, 0.0000, 0.0000)
Tc (0.0000, 0.0000, 0.0000)
Ba (0.5000, 0.5000, 0.5000)
Te (0.0000, 0.0000, 0.5000)

## Properties
Relative energy among the computed polymorphs: 0.000 eV/atom
Symmetry: P4/mmm



This record from Alexandria describes CdSi2Cl2 after structural relaxation. The functional is PBE.

a b c (Å): 8.8794 8.8794 2.9565
angles (deg): 90.00 90.00 90.00
Element x y z (fractional)
Si (0.2670, 0.2330, 0.5000)
Si (0.7330, 0.7670, 0.5000)
Si (0.2330, 0.7330, 0.5000)
Si (0.7670, 0.2670, 0.5000)
Cd (0.5000, 0.5000, 0.0000)
Cd (0.0000, 0.0000, 0.0000)
Cl (0.1202, 0.3798, 0.0000)
Cl (0.3798, 0.8798, 0.0000)
Cl (0.8798, 0.6202, 0.0000)
Cl (0.6202, 0.1202, 0.0000)

## Properties
Relative energy among the computed polymorphs: 0.262 eV/atom
Symmetry: P4/mbm



This record from Alexandria describes Be2SeBr after structural relaxation. The functional is PBE.

a b c (Å): 3.5474 3.5866 7.0270
angles (deg): 75.82 90.00 90.00
Element x y z (fractional)
Be (0.5000, 0.2809, 0.0791)
Be (0.0000, 0.7626, 0.1072)
Se (0.5000, 0.8651, 0.9031)
Br (0.0000, 0.5914, 0.4107)

## Properties
Relative energy among the computed polymorphs: 0.096 eV/atom
Symmetry: Pm



This record from Alexandria describes Pm2PrHoBi4 after structural relaxation. The functional is PBE.

a b c (Å): 4.5695 7.9069 7.9102
angles (deg): 109.48 90.00 90.00
Element x y z (fractional)
Bi (0.0000, 0.7434, 0.2460)
Bi (0.5000, 0.2553, 0.2499)
Bi (0.0000, 0.2566, 0.7540)
Bi (0.5000, 0.7447, 0.7501)
Ho (0.5000, 0.5000, 0.0000)
Pm (0.0000, 0.5000, 0.5000)
Pm (0.5000, 0.0000, 0.5000)
Pr (0.0000, 0.0000, 0.0000)

## Properties
Symmetry: P2/m
ΔH_f (0 K): -705 kJ/mol of formula units



Record order is preserved below.
Spin magnetization: 0.000, 1.634, 0.070, 0.000, 1.222, 0.000, 0.000, 0.683, 0.000, 0.000, 0.000, 0.000 μB per atom
Record order is preserved below.
Total energy: -4.596, -6.495, -3.447, -6.593, -6.827, -1.213, -9.295, -3.841, -4.968, -2.821, -3.354, -5.211 eV per atom